# Pm7Dy16Y6 PBE relaxed
data_Pm7Dy16Y6
_chemical_formula_sum 'Pm7 Dy16 Y6'
_cell_length_a 11.185
_cell_length_b 11.185
_cell_length_c 11.185
_cell_angle_alpha 60.00
_cell_angle_beta 60.00
_cell_angle_gamma 60.00
_space_group_name_H-M_alt 'P 1'
_space_group_IT_number 1
loop_
_space_group_symop_operation_xyz
'x,y,z'
loop_
_atom_site_label
_atom_site_fract_x
_atom_site_fract_y
_atom_site_fract_z
Dy1 0.042 0.653 0.653
Dy2 0.125 0.125 0.125
Dy3 0.653 0.042 0.653
Dy4 0.347 0.347 0.347
Dy5 0.376 0.875 0.875
Dy6 0.125 0.125 0.624
Dy7 0.875 0.875 0.875
Dy8 0.347 0.347 0.958
Dy9 0.653 0.653 0.042
Dy10 0.347 0.958 0.347
Dy11 0.624 0.125 0.125
Dy12 0.653 0.653 0.653
Dy13 0.125 0.624 0.125
Dy14 0.875 0.376 0.875
Dy15 0.958 0.347 0.347
Dy16 0.875 0.875 0.376
Y1 0.728 0.272 0.728
Y2 0.272 0.728 0.272
Y3 0.728 0.272 0.272
Y4 0.272 0.728 0.728
Y5 0.728 0.728 0.272
Y6 0.272 0.272 0.728
Pm1 0.500 0.500 0.000
Pm2 0.000 0.500 0.500
Pm3 0.000 0.000 0.500
Pm4 0.000 0.500 0.000
Pm5 0.000 0.000 0.000
Pm6 0.500 0.000 0.000
Pm7 0.500 0.000 0.500
# energy of formation: 244 meV per atom
# space-group type: No. 225
# DOS at the Fermi energy: 60.6 states/eV/f.u.
# total moment: 0.0 μB per cell
# volume: 34.12 Å³/atom

# Pm2DyY PBE relaxed
data_Pm2DyY
_chemical_formula_sum 'Pm2 Dy1 Y1'
_cell_length_a 3.608
_cell_length_b 3.608
_cell_length_c 11.885
_cell_angle_alpha 81.27
_cell_angle_beta 81.27
_cell_angle_gamma 60.00
_space_group_name_H-M_alt 'P 1'
_space_group_IT_number 1
loop_
_space_group_symop_operation_xyz
'x,y,z'
loop_
_atom_site_label
_atom_site_fract_x
_atom_site_fract_y
_atom_site_fract_z
Dy1 0.000 0.000 0.000
Pm1 0.250 0.250 0.249
Pm2 0.750 0.750 0.751
Y1 0.500 0.500 0.500
# energy of formation: 12 meV per atom
# space-group type: No. 166
# DOS at the Fermi energy: 4.8 states/eV/f.u.
# total moment: 0.0 μB per cell
# volume: 32.97 Å³/atom

# Pm3Dy6Y PBE relaxed
data_Pm3Dy6Y
_chemical_formula_sum 'Pm3 Dy6 Y1'
_cell_length_a 6.603
_cell_length_b 9.674
_cell_length_c 6.651
_cell_angle_alpha 111.06
_cell_angle_beta 119.76
_cell_angle_gamma 90.00
_space_group_name_H-M_alt 'P 1'
_space_group_IT_number 1
loop_
_space_group_symop_operation_xyz
'x,y,z'
loop_
_atom_site_label
_atom_site_fract_x
_atom_site_fract_y
_atom_site_fract_z
Dy1 0.440 0.310 0.372
Dy2 0.067 0.690 0.628
Dy3 0.638 0.923 0.276
Dy4 0.362 0.077 0.724
Dy5 0.560 0.690 0.628
Dy6 0.933 0.310 0.372
Pm1 0.069 0.699 0.139
Pm2 0.000 0.000 0.000
Pm3 0.931 0.301 0.861
Y1 0.500 0.500 0.000
# energy of formation: 221 meV per atom
# space-group type: No. 12
# DOS at the Fermi energy: 17.9 states/eV/f.u.
# total moment: 0.0 μB per cell
# volume: 33.58 Å³/atom